Ba6Ga5N | PBE | optimized geometry

Cell: 14.8946 14.8946 14.8946 Å, 31.06 31.06 31.06°
Closest atoms and distances in Å follow each position.
Fractional coordinates of all 24 atoms:
Ba 0.1360 0.7103 0.2617  1 N 2.77
Ba 0.2103 0.6360 0.7617  1 N 2.77
Ba 0.2383 0.7897 0.3640  1 N 2.77
Ba 0.2617 0.1360 0.7103  1 N 2.77
Ba 0.2897 0.7383 0.8640  1 N 2.77
Ba 0.3640 0.2383 0.7897  1 N 2.77
Ba 0.6360 0.7617 0.2103  1 N 2.77
Ba 0.7103 0.2617 0.1360  1 N 2.77
Ba 0.7383 0.8640 0.2897  1 N 2.77
Ba 0.7617 0.2103 0.6360  1 N 2.77
Ba 0.7897 0.3640 0.2383  1 N 2.77
Ba 0.8640 0.2897 0.7383  1 N 2.77
Ga 0.0479 0.4521 0.2500  4 Ga 2.75-2.79
Ga 0.1976 0.1976 0.1976  3 Ga 2.75
Ga 0.2500 0.0479 0.4521  4 Ga 2.75-2.79
Ga 0.3024 0.3024 0.3024  3 Ga 2.75
Ga 0.4521 0.2500 0.0479  4 Ga 2.75-2.79
Ga 0.5479 0.7500 0.9521  4 Ga 2.75-2.79
Ga 0.6976 0.6976 0.6976  3 Ga 2.75
Ga 0.7500 0.9521 0.5479  4 Ga 2.75-2.79
Ga 0.8024 0.8024 0.8024  3 Ga 2.75
Ga 0.9521 0.5479 0.7500  4 Ga 2.75-2.79
N 0.0000 0.0000 0.0000  6 Ba 2.77
N 0.5000 0.5000 0.5000  6 Ba 2.77

Properties
For the energy relative to the elements, uncorrected, the calculation gives -0.4450 eV/atom. The total energy comes out at -3.361 eV/atom.